DFT (PBE-GGA) results for a relaxed TmSb2Pd crystal.

Computed properties:
calculated total energy = -4.898 eV/atom

a = 4.644 Å, b = 4.644 Å, c = 19.033 Å
α = 90.00°, β = 90.00°, γ = 90.00°
Space group I-42d (No. 122)
Inequivalent atoms, fractional coordinates:
1 Tm 0.000 0.000 0.000 (multiplicity 4)
2 Sb 0.208 0.250 0.625 (multiplicity 8)
3 Pd 0.000 0.000 0.500 (multiplicity 4)

---

DFT (PBE-GGA) results for a relaxed U3Sb4Pd3 crystal.

Computed properties:
calculated total energy = -7.075 eV/atom

a = 9.715 Å, b = 9.715 Å, c = 9.715 Å
α = 90.00°, β = 90.00°, γ = 90.00°
Space group I-43d (No. 220)
Inequivalent atoms, fractional coordinates:
1 U 0.000 0.250 0.375 (multiplicity 12)
2 Sb 0.088 0.088 0.088 (multiplicity 16)
3 Pd 0.000 0.250 0.875 (multiplicity 12)

---

DFT (PBE-GGA) results for a relaxed YSbPd2 crystal.

Computed properties:
calculated total energy = -6.005 eV/atom

a = 4.437 Å, b = 4.437 Å, c = 4.061 Å
α = 90.00°, β = 90.00°, γ = 90.00°
Space group P4/mmm (No. 123)
Inequivalent atoms, fractional coordinates:
1 Y 0.000 0.000 0.000 (multiplicity 1)
2 Sb 0.500 0.500 0.000 (multiplicity 1)
3 Pd 0.000 0.500 0.500 (multiplicity 2)

---

DFT (PBE-GGA) results for a relaxed YSbPd2 crystal.

Computed properties:
calculated total energy = -6.097 eV/atom

a = 4.895 Å, b = 4.895 Å, c = 6.563 Å
α = 90.00°, β = 90.00°, γ = 90.00°
Space group I4/mmm (No. 139)
Inequivalent atoms, fractional coordinates:
1 Y 0.000 0.000 0.000 (multiplicity 2)
2 Sb 0.000 0.000 0.500 (multiplicity 2)
3 Pd 0.000 0.500 0.250 (multiplicity 4)

---

DFT (PBE-GGA) results for a relaxed YSbPd2 crystal.

Computed properties:
calculated total energy = -6.132 eV/atom

a = 4.5638 Å, b = 4.5638 Å, c = 9.0487 Å
α = 90.00°, β = 90.00°, γ = 120.00°
Space group P6_3/mmc (No. 194)
Inequivalent atoms, fractional coordinates:
1 Y 0.3333 0.6667 0.2500 (multiplicity 2)
2 Sb 0.0000 0.0000 0.0000 (multiplicity 2)
3 Pd 0.3333 0.6667 0.5892 (multiplicity 4)

---

DFT (PBE-GGA) results for a relaxed Y2SbPd2 crystal.

Computed properties:
calculated total energy = -6.433 eV/atom

a = 7.532 Å, b = 7.532 Å, c = 3.929 Å
α = 90.00°, β = 90.00°, γ = 90.00°
Space group P4/mbm (No. 127)
Inequivalent atoms, fractional coordinates:
1 Y 0.174 0.326 0.000 (multiplicity 4)
2 Sb 0.000 0.000 0.500 (multiplicity 2)
3 Pd 0.128 0.628 0.500 (multiplicity 4)

---

DFT (PBE-GGA) results for a relaxed YSbPd crystal.

Computed properties:
calculated total energy = -6.289 eV/atom

a = 7.3408 Å, b = 7.3408 Å, c = 4.2696 Å
α = 90.00°, β = 90.00°, γ = 120.00°
Space group P-62m (No. 189)
Inequivalent atoms, fractional coordinates:
1 Y 0.0000 0.5870 0.0000 (multiplicity 3)
2 Sb 0.0000 0.0000 0.0000 (multiplicity 1)
3 Sb 0.3333 0.6667 0.5000 (multiplicity 2)
4 Pd 0.0000 0.2593 0.5000 (multiplicity 3)

---

DFT (PBE-GGA) results for a relaxed YSbPd2 crystal.

Computed properties:
calculated total energy = -6.105 eV/atom

a = 7.958 Å, b = 7.167 Å, c = 5.799 Å
α = 90.00°, β = 90.00°, γ = 90.00°
Space group Pnma (No. 62)
Inequivalent atoms, fractional coordinates:
1 Y 0.048 0.250 0.160 (multiplicity 4)
2 Sb 0.101 0.750 0.331 (multiplicity 4)
3 Pd 0.189 0.043 0.584 (multiplicity 8)

---

DFT (PBE-GGA) results for a relaxed YSb2Pd2 crystal.

Computed properties:
polymorph energy (0 for the lowest one) = 0 meV per atom

a = 4.536 Å, b = 4.536 Å, c = 10.880 Å
α = 90.00°, β = 90.00°, γ = 90.00°
Space group P4/nmm (No. 129, origin choice 2)
Inequivalent atoms, fractional coordinates:
1 Y 0.250 0.250 0.227 (multiplicity 2)
2 Sb 0.250 0.250 0.870 (multiplicity 2)
3 Sb 0.250 0.750 0.500 (multiplicity 2)
4 Pd 0.250 0.250 0.636 (multiplicity 2)
5 Pd 0.250 0.750 0.000 (multiplicity 2)

---

DFT (PBE-GGA) results for a relaxed YSbPd2 crystal.

Computed properties:
calculated total energy = -5.894 eV/atom

a = 6.844 Å, b = 6.844 Å, c = 6.844 Å
α = 90.00°, β = 90.00°, γ = 90.00°
Space group F-43m (No. 216)
Inequivalent atoms, fractional coordinates:
1 Y 0.000 0.000 0.000 (multiplicity 4)
2 Sb 0.250 0.250 0.750 (multiplicity 4)
3 Pd 0.000 0.000 0.500 (multiplicity 4)
4 Pd 0.250 0.250 0.250 (multiplicity 4)

---

DFT (PBE-GGA) results for a relaxed YSbPd2 crystal.

Computed properties:
calculated total energy = -6.013 eV/atom

a = 4.7750 Å, b = 4.7750 Å, c = 8.3214 Å
α = 90.00°, β = 90.00°, γ = 120.00°
Space group P6_3/mmc (No. 194)
Inequivalent atoms, fractional coordinates:
1 Y 0.0000 0.0000 0.0000 (multiplicity 2)
2 Sb 0.3333 0.6667 0.2500 (multiplicity 2)
3 Pd 0.3333 0.6667 0.5912 (multiplicity 4)

---

DFT (PBE-GGA) results for a relaxed YSbPd crystal.

Computed properties:
calculated total energy = -6.229 eV/atom

a = 7.4778 Å, b = 7.4778 Å, c = 4.1610 Å
α = 90.00°, β = 90.00°, γ = 120.00°
Space group P-62m (No. 189)
Inequivalent atoms, fractional coordinates:
1 Y 0.0000 0.6101 0.0000 (multiplicity 3)
2 Sb 0.0000 0.2754 0.5000 (multiplicity 3)
3 Pd 0.0000 0.0000 0.0000 (multiplicity 1)
4 Pd 0.3333 0.6667 0.5000 (multiplicity 2)

---

DFT (PBE-GGA) results for a relaxed YSbPd2 crystal.

Computed properties:
calculated total energy = -5.748 eV/atom

a = 5.0004 Å, b = 5.0004 Å, c = 7.9540 Å
α = 90.00°, β = 90.00°, γ = 120.00°
Space group P6_3/mmc (No. 194)
Inequivalent atoms, fractional coordinates:
1 Y 0.0000 0.0000 0.2500 (multiplicity 2)
2 Sb 0.3333 0.6667 0.2500 (multiplicity 2)
3 Pd 0.3333 0.6667 0.5787 (multiplicity 4)

---

DFT (PBE-GGA) results for a relaxed YSb2Pd2 crystal.

Computed properties:
polymorph energy (0 for the lowest one) = 56 meV per atom

a = 4.383 Å, b = 4.383 Å, c = 11.560 Å
α = 90.00°, β = 90.00°, γ = 90.00°
Space group I4/mmm (No. 139)
Inequivalent atoms, fractional coordinates:
1 Y 0.000 0.000 0.000 (multiplicity 2)
2 Sb 0.000 0.000 0.379 (multiplicity 4)
3 Pd 0.000 0.500 0.250 (multiplicity 4)

---

DFT (PBE-GGA) results for a relaxed Zn2SbPd crystal.

Computed properties:
calculated total energy = -2.988 eV/atom

a = 6.606 Å, b = 6.606 Å, c = 6.606 Å
α = 90.00°, β = 90.00°, γ = 90.00°
Space group F-43m (No. 216)
Inequivalent atoms, fractional coordinates:
1 Zn 0.000 0.000 0.000 (multiplicity 4)
2 Zn 0.250 0.250 0.250 (multiplicity 4)
3 Sb 0.000 0.000 0.500 (multiplicity 4)
4 Pd 0.250 0.250 0.750 (multiplicity 4)

---

DFT (PBE-GGA) results for a relaxed ZrSbPd crystal.

Computed properties:
calculated total energy = -6.661 eV/atom

a = 7.0272 Å, b = 7.0272 Å, c = 4.1994 Å
α = 90.00°, β = 90.00°, γ = 120.00°
Space group P-62m (No. 189)
Inequivalent atoms, fractional coordinates:
1 Zr 0.0000 0.5844 0.0000 (multiplicity 3)
2 Sb 0.0000 0.0000 0.0000 (multiplicity 1)
3 Sb 0.3333 0.6667 0.5000 (multiplicity 2)
4 Pd 0.0000 0.2546 0.5000 (multiplicity 3)

---

DFT (PBE-GGA) results for a relaxed Zr2Sb3Pd crystal.

Computed properties:
calculated total energy = -6.375 eV/atom

a = 3.964 Å, b = 3.964 Å, c = 8.681 Å
α = 90.00°, β = 90.00°, γ = 90.00°
Space group P-4m2 (No. 115)
Inequivalent atoms, fractional coordinates:
1 Zr 0.000 0.500 0.239 (multiplicity 2)
2 Sb 0.000 0.500 0.881 (multiplicity 2)
3 Sb 0.500 0.500 0.500 (multiplicity 1)
4 Pd 0.000 0.000 0.500 (multiplicity 1)

---

DFT (PBE-GGA) results for a relaxed Zr5Sb3Pd crystal.

Computed properties:
calculated total energy = -7.446 eV/atom

a = 8.7203 Å, b = 8.7203 Å, c = 5.8452 Å
α = 90.00°, β = 90.00°, γ = 120.00°
Space group P6_3/mcm (No. 193)
Inequivalent atoms, fractional coordinates:
1 Zr 0.0000 0.2726 0.2500 (multiplicity 6)
2 Zr 0.3333 0.6667 0.0000 (multiplicity 4)
3 Sb 0.0000 0.3833 0.7500 (multiplicity 6)
4 Pd 0.0000 0.0000 0.0000 (multiplicity 2)

---

DFT (PBE-GGA) results for a relaxed ZrSbPd crystal.

Computed properties:
calculated total energy = -6.699 eV/atom

a = 6.860 Å, b = 4.343 Å, c = 8.042 Å
α = 90.00°, β = 90.00°, γ = 90.00°
Space group Pnma (No. 62)
Inequivalent atoms, fractional coordinates:
1 Zr 0.017 0.250 0.194 (multiplicity 4)
2 Sb 0.231 0.750 0.393 (multiplicity 4)
3 Pd 0.166 0.250 0.574 (multiplicity 4)

---

DFT (PBE-GGA) results for a relaxed Zr3Sb2Pd2 crystal.

Computed properties:
calculated total energy = -6.785 eV/atom

a = 4.7848 Å, b = 4.7848 Å, c = 23.2000 Å
α = 90.00°, β = 90.00°, γ = 120.00°
Space group R3m (No. 160, hexagonal axes)
Inequivalent atoms, fractional coordinates:
1 Zr 0.0000 0.0000 0.0000 (multiplicity 3)
2 Zr 0.0000 0.0000 0.2507 (multiplicity 3)
3 Zr 0.0000 0.0000 0.5026 (multiplicity 3)
4 Sb 0.0000 0.0000 0.1224 (multiplicity 3)
5 Sb 0.0000 0.0000 0.6308 (multiplicity 3)
6 Pd 0.0000 0.0000 0.3836 (multiplicity 3)
7 Pd 0.0000 0.0000 0.8576 (multiplicity 3)

---

no.,volume (Å³ per atom)
1,25.7
2,22.9
3,20.0
4,19.7
5,20.4
6,22.3
7,22.1
8,20.7
9,22.4
10,20.0
11,20.5
12,22.4
13,21.5
14,22.2
15,18.0
16,20.0
17,22.7
18,21.4
19,20.0
20,21.9